1.
The following is a GGA-PBE calculation of LaTc4As after structural relaxation, from Alexandria.

Summary:
The density comes out at 9.22 g/cm³. The value obtained for the energy of formation is 0.3172 eV per atom. The total magnetization is 0.000 μB/cell. Its total energy is -49.14 eV/cell.

Cell lengths 5.364, 5.364, 5.364 Å; angles 60.00, 60.00, 60.00 degrees
Element x y z (fractional)
La 0.000 0.000 0.000
Tc 0.870 0.377 0.377
Tc 0.377 0.377 0.870
Tc 0.377 0.870 0.377
Tc 0.377 0.377 0.377
As 0.750 0.750 0.750

=====

2.
The following is a GGA-PBE calculation of LaTc2As after structural relaxation, from Alexandria.

Summary:
The density comes out at 9.48 g/cm³. The value obtained for the energy of formation is 0.2083 eV per atom. The total magnetization is 0.000 μB/cell. Its total energy is -29.48 eV/cell.

Cell lengths 4.446, 4.449, 3.629 Å; angles 90.00, 90.00, 90.00 degrees
Element x y z (fractional)
As 0.500 0.000 0.500
Tc 0.000 0.000 0.000
Tc 0.500 0.500 0.000
La 0.000 0.500 0.500

=====

3.
The following is a GGA-PBE calculation of LaTc2As after structural relaxation, from Alexandria.

Summary:
The density comes out at 9.04 g/cm³. The value obtained for the energy of formation is -0.1110 eV per atom. The total magnetization is 0.000 μB/cell. Its total energy is -30.75 eV/cell.

Cell lengths 3.180, 3.180, 7.446 Å; angles 90.00, 90.00, 90.00 degrees
Element x y z (fractional)
As 0.000 0.000 0.438
Tc 0.000 0.000 0.053
Tc 0.500 0.500 0.250
La 0.500 0.500 0.760

=====

4.
The following is a GGA-PBE calculation of La2TcAs after structural relaxation, from Alexandria.

Summary:
The density comes out at 8.46 g/cm³. The value obtained for the energy of formation is -0.1316 eV per atom. The total magnetization is 0.000 μB/cell. Its total energy is -25.40 eV/cell.

Cell lengths 5.001, 5.001, 5.001 Å; angles 60.00, 60.00, 60.00 degrees
Element x y z (fractional)
As 0.500 0.500 0.500
Tc 0.750 0.750 0.750
La 0.000 0.000 0.000
La 0.250 0.250 0.250

=====

5.
The following is a GGA-PBE calculation of La2TcAs after structural relaxation, from Alexandria.

Summary:
The density comes out at 7.76 g/cm³. The value obtained for the energy of formation is -0.2115 eV per atom. The total magnetization is 1.766 μB/cell. Its total energy is -25.72 eV/cell.

Cell lengths 5.979, 5.979, 5.979 Å; angles 137.50, 137.50, 61.66 degrees
Element x y z (fractional)
As 0.750 0.250 0.500
Tc 0.500 0.500 0.000
La 0.000 0.000 0.000
La 0.250 0.750 0.500

=====

6.
The following is a GGA-PBE calculation of LaTc2As after structural relaxation, from Alexandria.

Summary:
The density comes out at 9.07 g/cm³. The value obtained for the energy of formation is 0.2744 eV per atom. The total magnetization is 0.000 μB/cell. Its total energy is -29.21 eV/cell.

Cell lengths 4.912, 4.912, 4.912 Å; angles 125.92, 125.92, 80.03 degrees
Element x y z (fractional)
As 0.500 0.500 0.000
Tc 0.000 0.000 0.000
Tc 0.250 0.750 0.500
La 0.750 0.250 0.500